The following is a DFT calculation (PBE) of AsPb4Au after structural relaxation.

Unit cell a=6.3421 b=6.3421 c=6.3421 alpha=60.00 beta=60.00 gamma=60.00
Sites, in units of the cell vectors:
As (0.0000, 0.0000, 0.0000)
Pb (0.3752, 0.3752, 0.3752)
Pb (0.3752, 0.3752, 0.8744)
Pb (0.3752, 0.8744, 0.3752)
Pb (0.8744, 0.3752, 0.3752)
Au (0.7500, 0.7500, 0.7500)

Calculated values
The energy of formation from the pure elements comes out at 0.496 eV/atom. Its total magnetization is 0.00 μB per atom.